Below is a crystal of ZnNi2Ru relaxed with PBEsol, with properties calculated at the SCAN level.

* formation enthalpy at 0 K: 0.07 kcal/mol of atoms

abc: 2.532 4.435 4.435
angles: 109.47 90.00 90.00
Site moments in Bohr magnetons follow the coordinates.
Atoms (fractional coordinates):
Ru  0.500  0.000  0.000  0.26
Ni  0.000  0.000  0.500  0.40
Ni  0.000  0.500  0.000  0.40
Zn  0.500  0.500  0.500  -0.02

Below is a crystal of ZnNi2Ru relaxed with PBEsol, with properties calculated at the SCAN level.

* formation enthalpy at 0 K: 0.62 kcal/mol of atoms

abc: 2.553 4.409 4.441
angles: 99.92 90.00 106.83
Atoms (fractional coordinates):
Ni  0.251  0.502  0.739
Zn  0.747  0.494  0.229
Ru  0.505  0.009  0.525
Ni  0.997  0.995  0.007

Below is a crystal of ZnNi2Ru relaxed with PBEsol, with properties calculated at the SCAN level.

* formation enthalpy at 0 K: -0.29 kcal/mol of atoms

abc: 2.570 2.570 7.083
angles: 90.00 90.00 90.00
Atoms (fractional coordinates):
Zn  0.500  0.500  0.500
Ru  0.500  0.500  0.000
Ni  0.000  0.000  0.251
Ni  0.000  0.000  0.749

Below is a crystal of ZnNi2Ru relaxed with PBEsol, with properties calculated at the SCAN level.

* formation enthalpy at 0 K: 2.16 kcal/mol of atoms

abc: 2.595 2.595 8.316
angles: 81.02 81.02 60.00
Site moments in Bohr magnetons follow the coordinates.
Atoms (fractional coordinates):
Ni  0.748  0.748  0.756  0.70
Ni  0.002  0.002  0.994  0.61
Ru  0.496  0.496  0.511  0.37
Zn  0.254  0.254  0.239  -0.02

Below is a crystal of Zr2NiRu relaxed with PBEsol, with properties calculated at the SCAN level.

* formation enthalpy at 0 K: -4.53 kcal/mol of atoms
* excess energy over the best structure of this formula in the dataset: 0.376 eV/atom

abc: 3.288 3.288 7.626
angles: 77.55 77.55 60.00
Atoms (fractional coordinates):
Ni  0.500  0.500  0.500
Zr  0.753  0.753  0.742
Ru  0.000  0.000  0.000
Zr  0.247  0.247  0.258

Below is a crystal of Zr2NiRu relaxed with PBEsol, with properties calculated at the SCAN level.

* formation enthalpy at 0 K: -12.73 kcal/mol of atoms
* excess energy over the best structure of this formula in the dataset: 0.020 eV/atom

abc: 4.532 4.532 4.532
angles: 90.20 119.88 119.88
Atoms (fractional coordinates):
Zr  0.500  0.250  0.750
Zr  0.500  0.750  0.250
Ru  0.000  0.500  0.500
Ni  0.000  0.000  0.000

Below is a crystal of ZrNi4Ru relaxed with PBEsol, with properties calculated at the SCAN level.

* formation enthalpy at 0 K: -6.07 kcal/mol of atoms

abc: 4.718 4.718 4.718
angles: 60.00 60.00 60.00
Site moments in Bohr magnetons follow the coordinates.
Atoms (fractional coordinates):
Ni  0.376  0.376  0.376  0.53
Ni  0.376  0.872  0.376  0.53
Ru  0.750  0.750  0.750  0.86
Zr  0.000  0.000  0.000  -0.20
Ni  0.872  0.376  0.376  0.53
Ni  0.376  0.376  0.872  0.53

Below is a crystal of ZrNiRu2 relaxed with PBEsol, with properties calculated at the SCAN level.

* formation enthalpy at 0 K: -0.43 kcal/mol of atoms

abc: 4.342 4.342 4.342
angles: 60.00 60.00 60.00
Atoms (fractional coordinates):
Ru  0.000  0.000  0.000
Ni  0.500  0.500  0.500
Zr  0.250  0.250  0.250
Ru  0.750  0.750  0.750

Below is a crystal of ZrNiRu2 relaxed with PBEsol, with properties calculated at the SCAN level.

* formation enthalpy at 0 K: 0.02 kcal/mol of atoms

abc: 2.763 4.722 5.149
angles: 115.82 103.23 94.94
Atoms (fractional coordinates):
Ru  0.500  0.500  0.500
Ru  0.000  0.000  0.500
Ni  0.500  0.000  0.000
Zr  0.000  0.500  0.000

Below is a crystal of Zr2NiRu relaxed with PBEsol, with properties calculated at the SCAN level.

* formation enthalpy at 0 K: -7.27 kcal/mol of atoms
* excess energy over the best structure of this formula in the dataset: 0.257 eV/atom

abc: 3.832 3.832 5.225
angles: 111.52 111.52 90.00
Atoms (fractional coordinates):
Ru  0.250  0.750  0.500
Zr  0.000  0.000  0.000
Ni  0.500  0.500  0.000
Zr  0.750  0.250  0.500

Below is a crystal of ZrNiRu2 relaxed with PBEsol, with properties calculated at the SCAN level.

* formation enthalpy at 0 K: -1.52 kcal/mol of atoms

abc: 3.893 3.893 4.685
angles: 114.55 114.55 90.00
Atoms (fractional coordinates):
Ru  0.750  0.250  0.500
Ni  0.000  0.000  0.000
Zr  0.500  0.500  0.000
Ru  0.250  0.750  0.500

Below is a crystal of Zr2NiRu relaxed with PBEsol, with properties calculated at the SCAN level.

* formation enthalpy at 0 K: -13.20 kcal/mol of atoms
* excess energy over the best structure of this formula in the dataset: 0.000 eV/atom

abc: 3.199 3.199 6.408
angles: 90.00 90.00 90.00
Atoms (fractional coordinates):
Zr  0.000  0.000  0.754
Ru  0.500  0.500  0.500
Zr  0.000  0.000  0.246
Ni  0.500  0.500  0.000

Below is a crystal of NiS2 relaxed with PBEsol, with properties calculated at the SCAN level.

* E_form (uncorrected): -0.286 eV/atom

abc: 5.515 5.515 5.515
angles: 90.00 90.00 90.00
Atoms (fractional coordinates):
S  0.391  0.391  0.391
Ni  0.000  0.500  0.500
S  0.391  0.109  0.891
Ni  0.500  0.000  0.500
S  0.891  0.391  0.109
S  0.891  0.109  0.609
S  0.609  0.891  0.109
Ni  0.500  0.500  0.000
S  0.109  0.891  0.391
Ni  0.000  0.000  0.000
S  0.109  0.609  0.891
S  0.609  0.609  0.609

Below is a crystal of NiS2 relaxed with PBEsol, with properties calculated at the SCAN level.

* E_form (uncorrected): -0.251 eV/atom

abc: 3.540 5.429 9.185
angles: 90.00 90.00 90.00
Atoms (fractional coordinates):
S  0.750  0.045  0.216
S  0.250  0.545  0.284
S  0.250  0.779  0.468
S  0.750  0.455  0.716
Ni  0.250  0.153  0.363
S  0.750  0.279  0.032
Ni  0.250  0.347  0.863
S  0.250  0.721  0.968
S  0.250  0.955  0.784
Ni  0.750  0.653  0.137
S  0.750  0.221  0.532
Ni  0.750  0.847  0.637

Below is a crystal of NiS2 relaxed with PBEsol, with properties calculated at the SCAN level.

* E_form (uncorrected): -0.335 eV/atom

abc: 6.572 6.572 6.572
angles: 60.00 60.00 60.00
Atoms (fractional coordinates):
S  0.386  0.843  0.386
S  0.864  0.864  0.407
Ni  0.125  0.625  0.625
S  0.386  0.386  0.843
S  0.864  0.864  0.864
S  0.843  0.386  0.386
S  0.407  0.864  0.864
Ni  0.625  0.625  0.125
Ni  0.625  0.125  0.625
S  0.864  0.407  0.864
S  0.386  0.386  0.386
Ni  0.625  0.625  0.625

Below is a crystal of NiS2 relaxed with PBEsol, with properties calculated at the SCAN level.

* E_form (uncorrected): -0.296 eV/atom

abc: 3.346 3.346 5.552
angles: 72.62 72.62 59.91
Atoms (fractional coordinates):
S  0.595  0.595  0.217
S  0.405  0.405  0.783
Ni  0.000  0.000  0.000

Below is a crystal of NiS2 relaxed with PBEsol, with properties calculated at the SCAN level.

* E_form (uncorrected): -0.377 eV/atom

abc: 3.483 4.522 5.477
angles: 90.00 90.00 90.14
Site moments in Bohr magnetons follow the coordinates.
Atoms (fractional coordinates):
S  0.500  0.814  0.887  0.20
S  0.000  0.314  0.613  0.20
Ni  0.000  0.500  0.000  1.33
Ni  0.500  0.000  0.500  1.33
S  0.500  0.186  0.113  0.20
S  0.000  0.686  0.387  0.20

Below is a crystal of NiS2 relaxed with PBEsol, with properties calculated at the SCAN level.

* E_form (uncorrected): -0.192 eV/atom

abc: 4.434 6.057 6.451
angles: 90.00 90.00 90.00
Atoms (fractional coordinates):
S  0.804  0.048  0.088
S  0.804  0.548  0.912
S  0.196  0.952  0.912
S  0.696  0.048  0.588
S  0.304  0.452  0.588
S  0.696  0.548  0.412
S  0.196  0.452  0.088
Ni  0.000  0.750  0.649
Ni  0.500  0.750  0.149
Ni  0.000  0.250  0.351
S  0.304  0.952  0.412
Ni  0.500  0.250  0.851

Below is a crystal of NiSbS2 relaxed with PBEsol, with properties calculated at the SCAN level.

* E_form (uncorrected): 0.103 eV/atom

abc: 3.915 3.915 7.384
angles: 74.63 74.63 60.00
Site moments in Bohr magnetons follow the coordinates.
Atoms (fractional coordinates):
S  0.097  0.097  0.709  0.07
Ni  0.000  0.000  0.000  0.83
S  0.903  0.903  0.291  0.07
Sb  0.500  0.500  0.500  0.01

Below is a crystal of NiSbS relaxed with PBEsol, with properties calculated at the SCAN level.

* E_form (uncorrected): -0.342 eV/atom

abc: 5.853 5.853 5.853
angles: 90.00 90.00 90.00
Atoms (fractional coordinates):
Sb  0.632  0.868  0.132
S  0.380  0.120  0.880
S  0.880  0.380  0.120
S  0.120  0.880  0.380
Ni  0.022  0.022  0.022
Sb  0.132  0.632  0.868
Ni  0.478  0.978  0.522
Sb  0.368  0.368  0.368
S  0.620  0.620  0.620
Ni  0.978  0.522  0.478
Ni  0.522  0.478  0.978
Sb  0.868  0.132  0.632

no.,uncorrected energy (eV/atom)
1,-20.1691
2,-20.1451
3,-20.1846
4,-20.0783
5,-28.2958
6,-28.6511
7,-21.9662
8,-29.1496
9,-29.1302
10,-28.4147
11,-29.1970
12,-28.6715
13,-12.0963
14,-12.0611
15,-12.1446
16,-12.1054
17,-12.1869
18,-12.0018
19,-18.0698
20,-21.3627